! InSiRu2 PBE optimized geometry; values from VASP
! - D(E_F): 0.637 states/eV/atom
! - E_form (uncorrected): -0.1 eV per formula unit
! - VASP energy: -6.70 eV per atom
! - Total moment: 0.00 μB/f.u.
&SYSTEM
  ibrav = 0, nat = 4, ntyp = 3
/
ATOMIC_SPECIES
In 114.82 In.upf
Ru 101.07 Ru.upf
Si 28.09 Si.upf
CELL_PARAMETERS angstrom
-3.165 3.282 -2.227
-3.945 0.975 3.038
5.031 0.364 -0.549
ATOMIC_POSITIONS crystal
In 0.750 0.250 0.500
Ru 0.032 0.032 0.000
Ru 0.468 0.468 0.000
Si 0.250 0.750 0.500